1.
Density functional theory data (PBE) for a geometry-optimized ThZrSn2 structure.

Properties
Energy ... -25.19 eV per cell
Space-group type ... R-3m, No. 166

Geometry as POSCAR:
```
ThZrSn2
1.0
1.7027 0.9831 10.3373
-1.7027 0.9831 10.3373
0.0000 -1.9662 10.3373
Th Zr Sn
1 1 2
Direct
0.0000 0.0000 0.0000
0.5000 0.5000 0.5000
0.2438 0.2438 0.2438
0.7562 0.7562 0.7562
```



2.
Density functional theory data (PBE) for a geometry-optimized RbCuBr2 structure.

Properties
Formation energy without anion corrections ... -1.084 eV per atom
Energy ... -25.49 eV per cell
Space-group type ... P1, No. 1

Geometry as POSCAR:
```
RbCuBr2
1.0
5.3369 0.0000 0.0000
0.0036 7.8385 0.0000
0.0003 0.0023 7.8402
Rb Cu Br
2 2 4
Direct
0.0000 0.0000 0.0000
0.5000 0.4990 0.4985
0.2529 0.9980 0.5012
0.7529 0.9980 0.5013
0.0001 0.2385 0.6340
0.0001 0.7593 0.3650
0.5000 0.1326 0.2610
0.5002 0.8635 0.7402
```



3.
Density functional theory data (PBE) for a geometry-optimized NaP2Pd5Rh structure.

Properties
Energy ... -46.90 eV per cell
Space-group type ... P4/mmm, No. 123

Geometry as POSCAR:
```
NaP2Pd5Rh
1.0
4.4096 0.0000 0.0000
0.0000 4.4096 0.0000
0.0000 0.0000 9.1620
Na P Pd Rh
1 2 5 1
Direct
0.0000 0.0000 0.0000
0.5000 0.5000 0.2458
0.5000 0.5000 0.7542
0.0000 0.5000 0.3090
0.0000 0.5000 0.6910
0.5000 0.0000 0.3090
0.5000 0.0000 0.6910
0.5000 0.5000 0.0000
0.5000 0.5000 0.5000
```



4.
Density functional theory data (PBE) for a geometry-optimized Ac2Pr3Tl structure.

Properties
Energy ... -25.41 eV per cell
Space-group type ... Cmmm, No. 65

Geometry as POSCAR:
```
Ac2Pr3Tl
1.0
2.5957 -8.1254 0.0000
2.5957 8.1254 0.0000
0.0000 0.0000 5.1305
Ac Pr Tl
2 3 1
Direct
0.1636 0.8364 0.0000
0.8364 0.1636 0.0000
0.0000 0.0000 0.5000
0.3427 0.6573 0.5000
0.6573 0.3427 0.5000
0.5000 0.5000 0.0000
```